(1)
The following is a DFT calculation (SCAN) of a crystal of TaBeCoS2 relaxed with PBEsol.

Values from the calculation:
N(E_F) = 1.94 states/eV per cell
Uncorrected formation energy = 759 meV per atom

Unit cell a=4.656 b=4.656 c=4.642 alpha=90.00 beta=90.00 gamma=90.00
Fractional positions:
1 Ta 0.000 0.000 0.000
2 Be 0.500 0.500 0.500
3 Co 0.000 0.000 0.500
4 S 0.000 0.500 0.000
5 S 0.500 0.000 0.000

(2)
The following is a DFT calculation (SCAN) of a crystal of Ca2LaZn relaxed with PBEsol.

Values from the calculation:
N(E_F) = 4.54 states/eV per cell
E_form = -0.085 eV/atom

Unit cell a=3.548 b=3.548 c=9.664 alpha=90.00 beta=90.00 gamma=90.00
Fractional positions:
1 Ca 0.000 0.000 0.190
2 Ca 0.000 0.000 0.810
3 La 0.500 0.500 0.500
4 Zn 0.500 0.500 0.000

(3)
The following is a DFT calculation (SCAN) of a crystal of InAsCl2 relaxed with PBEsol.

Values from the calculation:
N(E_F) = 1.86 states/eV per cell
Relative energy among the computed polymorphs = 0.253 eV/atom
Uncorrected formation energy = 19 meV per atom

Unit cell a=3.175 b=4.263 c=6.212 alpha=90.00 beta=90.00 gamma=90.00
Fractional positions:
1 In 0.000 0.000 0.000
2 As 0.000 0.000 0.500
3 Cl 0.500 0.500 0.259
4 Cl 0.500 0.500 0.741

(4)
The following is a DFT calculation (SCAN) of a crystal of AlTlI4 relaxed with PBEsol.

Values from the calculation:
N(E_F) = 0.00 states/eV per cell
Uncorrected formation energy = -738 meV per atom

Unit cell a=7.933 b=7.806 c=15.809 alpha=90.00 beta=95.80 gamma=90.00
Fractional positions:
1 Al 0.247 0.139 0.140
2 Al 0.247 0.361 0.640
3 Al 0.753 0.639 0.360
4 Al 0.753 0.861 0.860
5 Tl 0.255 0.014 0.861
6 Tl 0.255 0.486 0.361
7 Tl 0.745 0.514 0.639
8 Tl 0.745 0.986 0.139
9 I 0.008 0.154 0.664
10 I 0.008 0.346 0.164
11 I 0.139 0.654 0.587
12 I 0.139 0.846 0.087
13 I 0.429 0.237 0.530
14 I 0.429 0.263 0.030
15 I 0.431 0.104 0.281
16 I 0.431 0.396 0.781
17 I 0.569 0.604 0.219
18 I 0.569 0.896 0.719
19 I 0.571 0.737 0.970
20 I 0.571 0.763 0.470
21 I 0.861 0.154 0.913
22 I 0.861 0.346 0.413
23 I 0.992 0.654 0.836
24 I 0.992 0.846 0.336